[1]
## USiTc2 (PBE)

Data for a geometry-optimized USiTc2 structure.

Unit cell a=3.0156 b=3.0156 c=6.9292 alpha=90.00 beta=90.00 gamma=90.00
Element x y z (fractional)
Si 0.5000 0.5000 0.0000
U 0.5000 0.5000 0.5000
Tc 0.0000 0.0000 0.7939
Tc 0.0000 0.0000 0.2061

Summary:
Energy   -9.496 eV per atom
Energy relative to the lowest polymorph listed for this composition   0.93 eV per formula unit
Fermi-level density of states   1.85 states/eV/atom
ΔE_f (raw)   -0.13 eV/atom


[2]
## TbNpTe2 (PBE)

Data for a geometry-optimized TbNpTe2 structure.

Unit cell a=4.1708 b=4.1708 c=10.1392 alpha=78.13 beta=78.13 gamma=60.00
Last column: magnetic moment on the atom in μB.
Element x y z (fractional)
Np 0.5000 0.5000 0.5000  4.03
Te 0.1015 0.1015 0.6955  -0.09
Te 0.8985 0.8985 0.3045  -0.09
Tb 0.0000 0.0000 0.0000  0.05

Summary:
Energy   -6.370 eV per atom
Energy relative to the lowest polymorph listed for this composition   1.78 eV per formula unit
Fermi-level density of states   2.71 states/eV/atom
ΔE_f (raw)   -0.41 eV/atom


[3]
## DyHoScRu (PBE)

Data for a geometry-optimized DyHoScRu structure.

Unit cell a=5.0372 b=5.0372 c=5.0372 alpha=60.00 beta=60.00 gamma=60.00
Element x y z (fractional)
Sc 0.7500 0.7500 0.7500
Ru 0.2500 0.2500 0.2500
Ho 0.5000 0.5000 0.5000
Dy 0.0000 0.0000 0.0000

Summary:
ΔH_f (0 K)   -42 meV/atom
Energy   -6.238 eV per atom
Fermi-level density of states   1.25 states/eV/atom


[4]
## GaCu2Hg (PBE)

Data for a geometry-optimized GaCu2Hg structure.

Unit cell a=3.3822 b=4.2976 c=4.2976 alpha=90.00 beta=90.00 gamma=90.00
Element x y z (fractional)
Cu 0.0000 0.0000 0.5000
Cu 0.0000 0.5000 0.0000
Hg 0.5000 0.5000 0.5000
Ga 0.5000 0.0000 0.0000

Summary:
ΔH_f (0 K)   130 meV/atom
Energy   -2.751 eV per atom
Energy relative to the lowest polymorph listed for this composition   0.14 eV per formula unit
Fermi-level density of states   0.25 states/eV/atom